A plane-wave DFT calculation with PBE-GGA was carried out for an optimized crystal structure of Zr2ZnTe.

Results
V (Å³/cell): 243.6
Formation energy without anion corrections (eV per atom): 0.399
Distance to the lowest polymorph of the same formula (eV per atom): 0.842

a = 6.016 Å, b = 6.016 Å, c = 7.964 Å
α = 67.81°, β = 67.81°, γ = 90.00°
Sites, in units of the cell vectors:
Zn: 0.250 0.750 0.500
Zn: 0.500 0.500 0.000
Zr: 0.580 0.125 0.250
Te: 0.750 0.250 0.500
Zr: 0.375 0.420 0.750
Zr: 0.875 0.830 0.750
Zr: 0.170 0.625 0.250
Te: 0.000 0.000 0.000